Compound: La2YRh
Source: Alexandria via LeMat-Bulk
Functional: PBE
Structure: relaxed

Lattice parameters (Å, degrees): 3.857 5.215 5.325 90.00 90.00 90.00
Element x y z (fractional)
La (0.000, 0.000, 0.000)
La (0.500, 0.000, 0.500)
Y (0.000, 0.500, 0.500)
Rh (0.500, 0.500, 0.000)

Computed properties:
ΔE to the lowest computed polymorph ... 397 meV per atom
Density ... 7281 kg/m3
D(E_F) ... 5.002 states/eV/cell
DFT total energy ... -5.98 eV per atom
Space group ... No. 47
ΔE_f ... -0.061 eV/atom



Compound: LaY4Rh
Source: Alexandria via LeMat-Bulk
Functional: PBE
Structure: relaxed

Lattice parameters (Å, degrees): 6.339 6.339 6.339 60.00 60.00 60.00
Element x y z (fractional)
La (0.000, 0.000, 0.000)
Y (0.376, 0.376, 0.376)
Y (0.376, 0.376, 0.873)
Y (0.376, 0.873, 0.376)
Y (0.873, 0.376, 0.376)
Rh (0.750, 0.750, 0.750)

Computed properties:
Density ... 5508 kg/m3
D(E_F) ... 12.025 states/eV/cell
DFT total energy ... -5.85 eV per atom
Space group ... No. 216
ΔE_f ... 0.504 eV/atom



Compound: La2YRh
Source: Alexandria via LeMat-Bulk
Functional: PBE
Structure: relaxed

Lattice parameters (Å, degrees): 4.506 4.083 6.675 90.00 104.15 90.00
Element x y z (fractional)
La (0.121, 0.000, 0.297)
La (0.879, 0.000, 0.703)
Y (0.500, 0.500, 0.000)
Rh (0.500, 0.500, 0.500)

Computed properties:
ΔE to the lowest computed polymorph ... 157 meV per atom
Density ... 6550 kg/m3
D(E_F) ... 4.386 states/eV/cell
DFT total energy ... -6.22 eV per atom
Space group ... No. 10
ΔE_f ... -0.301 eV/atom



Compound: La2YRh
Source: Alexandria via LeMat-Bulk
Functional: PBE
Structure: relaxed

Lattice parameters (Å, degrees): 6.953 6.953 6.953 102.59 102.59 124.33
Element x y z (fractional)
La (0.054, 0.625, 0.929)
La (0.375, 0.304, 0.429)
La (0.696, 0.125, 0.071)
La (0.875, 0.946, 0.571)
Y (0.250, 0.750, 0.500)
Y (0.500, 0.500, 0.000)
Rh (0.000, 0.000, 0.000)
Rh (0.750, 0.250, 0.500)

Computed properties:
ΔE to the lowest computed polymorph ... 239 meV per atom
Density ... 6355 kg/m3
D(E_F) ... 7.753 states/eV/cell
DFT total energy ... -6.14 eV per atom
Space group ... No. 122
ΔE_f ... -0.220 eV/atom



Compound: La8ZnRh2
Source: Alexandria via LeMat-Bulk
Functional: PBE
Structure: relaxed

Lattice parameters (Å, degrees): 8.286 8.286 5.900 99.28 99.28 116.93
Element x y z (fractional)
La (0.000, 0.000, 0.000)
La (0.050, 0.294, 0.623)
La (0.154, 0.625, 0.183)
La (0.294, 0.050, 0.623)
La (0.484, 0.728, 0.743)
La (0.625, 0.154, 0.183)
La (0.728, 0.484, 0.743)
La (0.780, 0.780, 0.368)
Zn (0.390, 0.390, 0.178)
Rh (0.109, 0.669, 0.683)
Rh (0.669, 0.109, 0.683)

Computed properties:
Density ... 6681 kg/m3
D(E_F) ... 13.991 states/eV/cell
DFT total energy ... -5.31 eV per atom
Space group ... No. 8
ΔE_f ... -0.271 eV/atom



Compound: La2ZnRh2
Source: Alexandria via LeMat-Bulk
Functional: PBE
Structure: relaxed

Lattice parameters (Å, degrees): 5.853 5.853 8.169 106.14 106.14 57.23
Element x y z (fractional)
La (0.004, 0.702, 0.850)
La (0.298, 0.996, 0.650)
La (0.702, 0.004, 0.350)
La (0.996, 0.298, 0.150)
Zn (0.367, 0.633, 0.250)
Zn (0.633, 0.367, 0.750)
Rh (0.222, 0.514, 0.478)
Rh (0.486, 0.778, 0.022)
Rh (0.514, 0.222, 0.978)
Rh (0.778, 0.486, 0.522)

Computed properties:
Density ... 8170 kg/m3
D(E_F) ... 5.847 states/eV/cell
DFT total energy ... -5.87 eV per atom
Space group ... No. 15
ΔE_f ... -0.701 eV/atom



Compound: La2ZnRh3
Source: Alexandria via LeMat-Bulk
Functional: PBE
Structure: relaxed

Lattice parameters (Å, degrees): 5.677 5.677 8.300 90.00 90.00 120.00
Element x y z (fractional)
La (0.333, 0.667, 0.060)
La (0.333, 0.667, 0.440)
La (0.667, 0.333, 0.560)
La (0.667, 0.333, 0.940)
Zn (0.000, 0.000, 0.000)
Zn (0.000, 0.000, 0.500)
Rh (0.166, 0.332, 0.750)
Rh (0.166, 0.834, 0.750)
Rh (0.332, 0.166, 0.250)
Rh (0.668, 0.834, 0.750)
Rh (0.834, 0.166, 0.250)
Rh (0.834, 0.668, 0.250)

Computed properties:
ΔE to the lowest computed polymorph ... 0 meV per atom
Density ... 9347 kg/m3
D(E_F) ... 7.806 states/eV/cell
DFT total energy ... -6.20 eV per atom
Space group ... No. 194
ΔE_f ... -0.668 eV/atom



Compound: La3Zn2Rh3
Source: Alexandria via LeMat-Bulk
Functional: PBE
Structure: relaxed

Lattice parameters (Å, degrees): 8.341 8.341 5.730 90.00 90.00 120.00
Element x y z (fractional)
La (0.000, 0.275, 0.250)
La (0.000, 0.725, 0.750)
La (0.275, 0.000, 0.250)
La (0.275, 0.275, 0.750)
La (0.725, 0.000, 0.750)
La (0.725, 0.725, 0.250)
Zn (0.333, 0.667, 0.000)
Zn (0.333, 0.667, 0.500)
Zn (0.667, 0.333, 0.000)
Zn (0.667, 0.333, 0.500)
Rh (0.000, 0.398, 0.750)
Rh (0.000, 0.602, 0.250)
Rh (0.398, 0.000, 0.750)
Rh (0.398, 0.398, 0.250)
Rh (0.602, 0.000, 0.250)
Rh (0.602, 0.602, 0.750)

Computed properties:
Density ... 8237 kg/m3
D(E_F) ... 9.439 states/eV/cell
DFT total energy ... -5.48 eV per atom
Space group ... No. 193
ΔE_f ... -0.559 eV/atom



Compound: LaZn2Rh
Source: Alexandria via LeMat-Bulk
Functional: PBE
Structure: relaxed

Lattice parameters (Å, degrees): 4.124 3.926 5.479 90.00 106.30 90.00
Element x y z (fractional)
La (0.000, 0.000, 0.000)
Zn (0.329, 0.000, 0.565)
Zn (0.668, 0.500, 0.401)
Rh (0.476, 0.500, 0.892)

Computed properties:
Density ... 7267 kg/m3
D(E_F) ... 1.761 states/eV/cell
DFT total energy ... -4.07 eV per atom
Space group ... No. 6
ΔE_f ... -0.367 eV/atom



Compound: LaZn2Rh
Source: Alexandria via LeMat-Bulk
Functional: PBE
Structure: relaxed

Lattice parameters (Å, degrees): 9.763 9.763 9.763 153.81 153.81 37.38
Element x y z (fractional)
La (0.000, 0.000, 0.000)
La (0.750, 0.250, 0.500)
Zn (0.295, 0.625, 0.170)
Zn (0.375, 0.545, 0.670)
Zn (0.455, 0.125, 0.830)
Zn (0.875, 0.705, 0.330)
Rh (0.250, 0.750, 0.500)
Rh (0.500, 0.500, 0.000)

Computed properties:
Density ... 6838 kg/m3
D(E_F) ... 5.975 states/eV/cell
DFT total energy ... -3.98 eV per atom
Space group ... No. 122
ΔE_f ... -0.271 eV/atom



> What is the density in the tenth record?

6838 kg/m3



> The highest ΔE_f belongs to which entry?

LaY4Rh